(1)
TlSb2Se: relaxed, GGA-PBE.

Crystal system: tetragonal
Formation energy (no corrections), eV/f.u.: -0.428
Polymorph energy (0 for the lowest one), eV/f.u.: 0.00
V, Å³/atom: 30.8
Magnetic moment, μB per cell: 0.0

```
data_TlSb2Se
_cell_length_a 4.457
_cell_length_b 4.457
_cell_length_c 6.205
_cell_angle_alpha 90.00
_cell_angle_beta 90.00
_cell_angle_gamma 90.00
_symmetry_space_group_name_H-M 'P 4 m m'
_symmetry_Int_Tables_number 99
_symmetry_space_group_name_Hall 'P 4 -2'
loop_
_atom_site_label
_atom_site_type_symbol
_atom_site_fract_x
_atom_site_fract_y
_atom_site_fract_z
_atom_site_occupancy
Tl1 Tl 0.000 0.000 0.000 1
Sb1 Sb 0.000 0.000 0.495 1
Sb2 Sb 0.500 0.500 0.540 1
Se1 Se 0.500 0.500 0.956 1
```

=====

(2)
KHfZr3: relaxed, GGA-PBE.

Crystal system: cubic
Polymorph energy (0 for the lowest one), eV/f.u.: 0.00
V, Å³/atom: 31.3
Magnetic moment, μB per cell: 0.0
Formation energy, eV per formula unit: 5.68

```
data_KHfZr3
_cell_length_a 5.388
_cell_length_b 5.388
_cell_length_c 5.388
_cell_angle_alpha 90.00
_cell_angle_beta 90.00
_cell_angle_gamma 90.00
_symmetry_space_group_name_H-M 'P m -3 m'
_symmetry_Int_Tables_number 221
_symmetry_space_group_name_Hall '-P 4 2 3'
loop_
_atom_site_label
_atom_site_type_symbol
_atom_site_fract_x
_atom_site_fract_y
_atom_site_fract_z
_atom_site_occupancy
K1 K 0.000 0.000 0.000 1
Hf1 Hf 0.500 0.500 0.500 1
Zr1 Zr 0.000 0.500 0.500 1
```

=====

(3)
NdGeO: relaxed, GGA-PBE.

Crystal system: tetragonal
Formation energy (no corrections), eV/f.u.: -5.435
Polymorph energy (0 for the lowest one), eV/f.u.: 0.80
V, Å³/atom: 19.5
Magnetic moment, μB per cell: 0.0

```
data_NdGeO
_cell_length_a 3.339
_cell_length_b 3.339
_cell_length_c 20.984
_cell_angle_alpha 90.00
_cell_angle_beta 90.00
_cell_angle_gamma 90.00
_symmetry_space_group_name_H-M 'I 4/m m m'
_symmetry_Int_Tables_number 139
_symmetry_space_group_name_Hall '-I 4 2'
loop_
_atom_site_label
_atom_site_type_symbol
_atom_site_fract_x
_atom_site_fract_y
_atom_site_fract_z
_atom_site_occupancy
Nd1 Nd 0.000 0.000 0.177 1
Ge1 Ge 0.000 0.000 0.441 1
O1 O 0.000 0.000 0.293 1
```

=====

(4)
Ca4CdIn2Ag: relaxed, GGA-PBE.

Crystal system: trigonal
V, Å³/atom: 27.8
Magnetic moment, μB per cell: 0.0
Formation energy, eV per formula unit: -3.23

```
data_Ca4CdIn2Ag
_cell_length_a 5.3949
_cell_length_b 5.3949
_cell_length_c 26.4752
_cell_angle_alpha 90.00
_cell_angle_beta 90.00
_cell_angle_gamma 120.00
_symmetry_space_group_name_H-M 'R -3 m'
_symmetry_Int_Tables_number 166
_symmetry_space_group_name_Hall '-R 3 2"'
loop_
_atom_site_label
_atom_site_type_symbol
_atom_site_fract_x
_atom_site_fract_y
_atom_site_fract_z
_atom_site_occupancy
Ca1 Ca 0.0000 0.0000 0.1229 1
Ca2 Ca 0.0000 0.0000 0.3731 1
Cd1 Cd 0.0000 0.0000 0.5000 1
In1 In 0.0000 0.0000 0.2487 1
Ag1 Ag 0.0000 0.0000 0.0000 1
```

=====

(5)
MnInSb: relaxed, GGA-PBE.

Crystal system: tetragonal
Formation energy (no corrections), eV/f.u.: 0.609
Polymorph energy (0 for the lowest one), eV/f.u.: 0.11
V, Å³/atom: 21.9
Magnetic moment, μB per cell: 5.8

```
data_MnInSb
_cell_length_a 3.323
_cell_length_b 3.323
_cell_length_c 11.905
_cell_angle_alpha 90.00
_cell_angle_beta 90.00
_cell_angle_gamma 90.00
_symmetry_space_group_name_H-M 'P 4/n m m'
_symmetry_Int_Tables_number 129
loop_
_symmetry_equiv_pos_as_xyz
'x,y,z'
'-x,-y,-z'
'-y+1/2,x,z'
'y+1/2,-x,-z'
'-x+1/2,-y+1/2,z'
'x+1/2,y+1/2,-z'
'y,-x+1/2,z'
'-y,x+1/2,-z'
'x+1/2,-y,-z'
'-x+1/2,y,z'
'-y,-x,-z'
'y,x,z'
'-x,y+1/2,-z'
'x,-y+1/2,z'
'y+1/2,x+1/2,-z'
'-y+1/2,-x+1/2,z'
loop_
_atom_site_label
_atom_site_type_symbol
_atom_site_fract_x
_atom_site_fract_y
_atom_site_fract_z
_atom_site_occupancy
Mn1 Mn 0.250 0.250 0.247 1
In1 In 0.250 0.250 0.605 1
Sb1 Sb 0.250 0.250 0.877 1
```

=====

(6)
KAlTe2I: relaxed, GGA-PBE.

Crystal system: tetragonal
Formation energy (no corrections), eV/f.u.: -2.205
Polymorph energy (0 for the lowest one), eV/f.u.: 0.00
V, Å³/atom: 35.7
Magnetic moment, μB per cell: 0.0

```
data_KAlTe2I
_cell_length_a 5.392
_cell_length_b 5.392
_cell_length_c 6.149
_cell_angle_alpha 90.00
_cell_angle_beta 90.00
_cell_angle_gamma 90.00
_symmetry_space_group_name_H-M 'P 4/m m m'
_symmetry_Int_Tables_number 123
_symmetry_space_group_name_Hall '-P 4 2'
loop_
_atom_site_label
_atom_site_type_symbol
_atom_site_fract_x
_atom_site_fract_y
_atom_site_fract_z
_atom_site_occupancy
K1 K 0.000 0.000 0.000 1
Al1 Al 0.500 0.500 0.500 1
Te1 Te 0.000 0.500 0.500 1
I1 I 0.500 0.500 0.000 1
```

=====

(7)
CuAg2AuF6: relaxed, GGA-PBE.

Crystal system: triclinic
Formation energy (no corrections), eV/f.u.: -11.121
V, Å³/atom: 14.7
Magnetic moment, μB per cell: 0.0

```
data_CuAg2AuF6
_cell_length_a 5.207
_cell_length_b 5.866
_cell_length_c 5.868
_cell_angle_alpha 117.72
_cell_angle_beta 90.01
_cell_angle_gamma 109.11
_symmetry_space_group_name_H-M 'P -1'
_symmetry_Int_Tables_number 2
_symmetry_space_group_name_Hall '-P 1'
loop_
_atom_site_label
_atom_site_type_symbol
_atom_site_fract_x
_atom_site_fract_y
_atom_site_fract_z
_atom_site_occupancy
Cu1 Cu 0.000 0.000 0.000 1
Ag1 Ag 0.294 0.490 0.720 1
Au1 Au 0.500 0.000 0.500 1
F1 F 0.126 0.791 0.573 1
F2 F 0.258 0.350 0.073 1
F3 F 0.279 0.930 0.148 1
```

=====

(8)
Ru2CF: relaxed, GGA-PBE.

Crystal system: cubic
Formation energy (no corrections), eV/f.u.: 2.940
Polymorph energy (0 for the lowest one), eV/f.u.: 1.76
V, Å³/atom: 10.4
Magnetic moment, μB per cell: 0.0

```
data_Ru2CF
_cell_length_a 5.493
_cell_length_b 5.493
_cell_length_c 5.493
_cell_angle_alpha 90.00
_cell_angle_beta 90.00
_cell_angle_gamma 90.00
_symmetry_space_group_name_H-M 'F m -3 m'
_symmetry_Int_Tables_number 225
_symmetry_space_group_name_Hall '-F 4 2 3'
loop_
_atom_site_label
_atom_site_type_symbol
_atom_site_fract_x
_atom_site_fract_y
_atom_site_fract_z
_atom_site_occupancy
Ru1 Ru 0.250 0.250 0.250 1
C1 C 0.000 0.000 0.000 1
F1 F 0.000 0.000 0.500 1
```

=====

(9)
Nd3Sm2P4: relaxed, GGA-PBE.

Crystal system: monoclinic
V, Å³/atom: 27.5
Magnetic moment, μB per cell: 0.1
Formation energy, eV per formula unit: -12.43

```
data_Nd3Sm2P4
_cell_length_a 13.696
_cell_length_b 4.131
_cell_length_c 10.124
_cell_angle_alpha 90.00
_cell_angle_beta 120.13
_cell_angle_gamma 90.00
_symmetry_space_group_name_H-M 'C 1 2/m 1'
_symmetry_Int_Tables_number 12
_symmetry_space_group_name_Hall '-C 2y'
loop_
_atom_site_label
_atom_site_type_symbol
_atom_site_fract_x
_atom_site_fract_y
_atom_site_fract_z
_atom_site_occupancy
Nd1 Nd 0.000 0.000 0.000 1
Nd2 Nd 0.202 0.000 0.805 1
Sm1 Sm 0.105 0.500 0.392 1
P1 P 0.100 0.500 0.898 1
P2 P 0.202 0.000 0.307 1
```

=====

(10)
MnTcIr3: relaxed, GGA-PBE.

Crystal system: cubic
Polymorph energy (0 for the lowest one), eV/f.u.: 0.00
V, Å³/atom: 17.4
Magnetic moment, μB per cell: 3.5
Formation energy, eV per formula unit: 7.66

```
data_MnTcIr3
_cell_length_a 4.432
_cell_length_b 4.432
_cell_length_c 4.432
_cell_angle_alpha 90.00
_cell_angle_beta 90.00
_cell_angle_gamma 90.00
_symmetry_space_group_name_H-M 'P m -3 m'
_symmetry_Int_Tables_number 221
_symmetry_space_group_name_Hall '-P 4 2 3'
loop_
_atom_site_label
_atom_site_type_symbol
_atom_site_fract_x
_atom_site_fract_y
_atom_site_fract_z
_atom_site_occupancy
Mn1 Mn 0.000 0.000 0.000 1
Tc1 Tc 0.500 0.500 0.500 1
Ir1 Ir 0.000 0.000 0.500 1
```

=====

(11)
KV2Se2: relaxed, GGA-PBE.

Crystal system: tetragonal
Formation energy (no corrections), eV/f.u.: -3.266
Polymorph energy (0 for the lowest one), eV/f.u.: 0.62
V, Å³/atom: 21.1
Magnetic moment, μB per cell: 0.0

```
data_KV2Se2
_cell_length_a 3.686
_cell_length_b 3.686
_cell_length_c 7.758
_cell_angle_alpha 90.00
_cell_angle_beta 90.00
_cell_angle_gamma 90.00
_symmetry_space_group_name_H-M 'P 4/m m m'
_symmetry_Int_Tables_number 123
_symmetry_space_group_name_Hall '-P 4 2'
loop_
_atom_site_label
_atom_site_type_symbol
_atom_site_fract_x
_atom_site_fract_y
_atom_site_fract_z
_atom_site_occupancy
K1 K 0.000 0.000 0.000 1
V1 V 0.000 0.500 0.500 1
Se1 Se 0.500 0.500 0.271 1
```

=====

(12)
FeHgRu2: relaxed, GGA-PBE.

Crystal system: tetragonal
V, Å³/atom: 15.2
Magnetic moment, μB per cell: 4.3
Formation energy, eV per formula unit: 2.16

```
data_FeHgRu2
_cell_length_a 3.968
_cell_length_b 3.968
_cell_length_c 3.864
_cell_angle_alpha 90.00
_cell_angle_beta 90.00
_cell_angle_gamma 90.00
_symmetry_space_group_name_H-M 'P 4/m m m'
_symmetry_Int_Tables_number 123
_symmetry_space_group_name_Hall '-P 4 2'
loop_
_atom_site_label
_atom_site_type_symbol
_atom_site_fract_x
_atom_site_fract_y
_atom_site_fract_z
_atom_site_occupancy
Fe1 Fe 0.000 0.000 0.000 1
Hg1 Hg 0.500 0.500 0.000 1
Ru1 Ru 0.000 0.500 0.500 1
```